Here is a relaxed structure of Tl3FeGe from Alexandria via LeMat-Bulk. Energies are from PBE-GGA.

Calculated values
The calculated formation energy comes out at 0.569 eV/atom. The volume is 138 Å³/cell. For the mass density, the calculation gives 8.95 Mg/m³. For the spin magnetization, the calculation gives 2.858 μB per cell.

Cell: 5.163 5.163 5.163 Å, 90.00 90.00 90.00°
Positions (direct):
Tl (0.000, 0.500, 0.000)
Tl (0.000, 0.000, 0.500)
Tl (0.500, 0.000, 0.000)
Ge (0.500, 0.500, 0.500)
Fe (0.000, 0.000, 0.000)